# 1
Entry from the Alexandria database: a geometry-optimized KTa2N structure (PBE-GGA).

Cell lengths 6.5292, 6.5292, 6.5304 Å; angles 60.01, 60.01, 90.00 degrees
Closest atoms and distances in Å follow each position.
Fractional coordinates of all 8 atoms:
K: 0.0000 0.0000 0.0000  12 Ta 3.83, 4 K 4.00, 4 N 4.00
K: 0.7500 0.2500 0.5000  12 Ta 3.83, 4 K 4.00, 4 N 4.00
N: 0.5000 0.5000 0.0000  4 Ta 2.00
N: 0.2500 0.7500 0.5000  4 Ta 2.00
Ta: 0.3754 0.1250 0.2500  2 N 2.00
Ta: 0.3746 0.6250 0.2500  2 N 2.00
Ta: 0.3750 0.6246 0.7500  2 N 2.00
Ta: 0.8750 0.6254 0.7500  2 N 2.00

Computed properties:
**Magnetization**: 0.00 μB per formula unit
**Electronic total energy**: -0.2859 Ha/atom
**Formation energy without anion corrections**: 0.50 eV/atom

# 2
Entry from the Alexandria database: a geometry-optimized LiHo5In6 structure (PBE-GGA).

Cell lengths 5.1977, 9.0623, 9.0623 Å; angles 119.67, 106.66, 106.66 degrees
Closest atoms and distances in Å follow each position.
Fractional coordinates of all 12 atoms:
In: 0.2396 0.0792 0.4000  1 Li 3.09, 7 Ho 3.16-3.29
In: 0.7604 0.6000 0.9208  1 Li 3.09, 7 Ho 3.16-3.29
In: 0.7281 0.2282 0.2282  2 Li 3.11, 6 Ho 3.17-3.30, 1 In 3.41
In: 0.2719 0.7718 0.7718  2 Li 3.11, 6 Ho 3.17-3.30, 1 In 3.41
In: 0.2396 0.4000 0.0792  1 Li 3.09, 7 Ho 3.16-3.29
In: 0.7604 0.9208 0.6000  1 Li 3.09, 7 Ho 3.16-3.29
Ho: 0.5000 0.1704 0.8296  8 In 3.16-3.29
Ho: 0.0000 0.3368 0.6632  8 In 3.25-3.29
Ho: 0.5000 0.5000 0.5000  8 In 3.18-3.30
Ho: 0.0000 0.6632 0.3368  8 In 3.25-3.29
Ho: 0.5000 0.8296 0.1704  8 In 3.16-3.29
Li: 0.0000 0.0000 0.0000  8 In 3.09-3.11

Computed properties:
**E_form**: -0.431 eV per atom
**Magnetization**: 0.00 μB per formula unit
**Electronic total energy**: -0.1421 Ha/atom

# 3
Entry from the Alexandria database: a geometry-optimized Bi3Sb5Au12 structure (PBE-GGA).

Cell lengths 14.1323, 14.1323, 14.1323 Å; angles 109.47, 109.47, 109.47 degrees
Closest atoms and distances in Å follow each position.
Fractional coordinates of all 80 atoms:
Bi: 0.7500 0.3750 0.1250  8 Au 2.92-3.02
Bi: 0.8750 0.7500 0.1250  8 Au 2.92-3.02
Bi: 0.3750 0.7500 0.6250  8 Au 2.92-3.02
Bi: 0.2500 0.1250 0.3750  8 Au 2.92-3.02
Bi: 0.8750 0.1250 0.2500  8 Au 2.92-3.02
Bi: 0.3750 0.6250 0.2500  8 Au 2.92-3.02
Bi: 0.6250 0.3750 0.7500  8 Au 2.92-3.02
Bi: 0.1250 0.8750 0.7500  8 Au 2.92-3.02
Bi: 0.7500 0.8750 0.6250  8 Au 2.92-3.02
Bi: 0.6250 0.2500 0.3750  8 Au 2.92-3.02
Bi: 0.1250 0.2500 0.8750  8 Au 2.92-3.02
Bi: 0.2500 0.6250 0.8750  8 Au 2.92-3.02
Sb: 0.1250 0.3750 0.2500  4 Au 2.69
Sb: 0.0000 0.5000 0.0000  6 Au 2.78
Sb: 0.0000 0.0000 0.0000  6 Au 2.78
Sb: 0.3750 0.2500 0.1250  4 Au 2.69
Sb: 0.5000 0.0000 0.5000  6 Au 2.78
Sb: 0.5000 0.5000 0.0000  6 Au 2.78
Sb: 0.1250 0.7500 0.3750  4 Au 2.69
Sb: 0.7500 0.1250 0.8750  4 Au 2.69
Sb: 0.7500 0.6250 0.3750  4 Au 2.69
Sb: 0.3750 0.1250 0.7500  4 Au 2.69
Sb: 0.6250 0.8750 0.2500  4 Au 2.69
Sb: 0.5000 0.5000 0.5000  6 Au 2.78
Sb: 0.5000 0.0000 0.0000  6 Au 2.78
Sb: 0.0000 0.0000 0.5000  6 Au 2.78
Sb: 0.2500 0.3750 0.6250  4 Au 2.69
Sb: 0.2500 0.8750 0.1250  4 Au 2.69
Sb: 0.0000 0.5000 0.5000  6 Au 2.78
Sb: 0.8750 0.2500 0.6250  4 Au 2.69
Sb: 0.6250 0.7500 0.8750  4 Au 2.69
Sb: 0.8750 0.6250 0.7500  4 Au 2.69
Au: 0.7268 0.1389 0.0594  2 Sb 2.69-2.78, 1 Bi 2.92
Au: 0.3326 0.5594 0.4205  2 Sb 2.69-2.78, 1 Bi 2.92
Au: 0.9406 0.3611 0.2732  2 Sb 2.69-2.78, 1 Bi 2.92
Au: 0.5594 0.2268 0.1389  2 Sb 2.69-2.78, 1 Bi 2.92
Au: 0.5878 0.7268 0.6674  2 Sb 2.69-2.78, 1 Bi 2.92
Au: 0.9406 0.5795 0.1674  2 Sb 2.69-2.78, 1 Bi 2.92
Au: 0.3326 0.7732 0.4122  2 Sb 2.69-2.78, 1 Bi 2.92
Au: 0.0795 0.9122 0.1389  2 Sb 2.69-2.78, 1 Bi 2.92
Au: 0.5795 0.9406 0.6674  2 Sb 2.69-2.78, 1 Bi 2.92
Au: 0.7268 0.5878 0.1674  2 Sb 2.69-2.78, 1 Bi 2.92
Au: 0.7732 0.4406 0.3611  2 Sb 2.69-2.78, 1 Bi 2.92
Au: 0.8326 0.9205 0.0594  2 Sb 2.69-2.78, 1 Bi 2.92
Au: 0.1389 0.7268 0.5594  2 Sb 2.69-2.78, 1 Bi 2.92
Au: 0.3611 0.4205 0.0878  2 Sb 2.69-2.78, 1 Bi 2.92
Au: 0.0878 0.9205 0.3611  2 Sb 2.69-2.78, 1 Bi 2.92
Au: 0.4122 0.1389 0.5795  2 Sb 2.69-2.78, 1 Bi 2.92
Au: 0.0878 0.1674 0.2268  2 Sb 2.69-2.78, 1 Bi 2.92
Au: 0.4406 0.6674 0.0795  2 Sb 2.69-2.78, 1 Bi 2.92
Au: 0.8326 0.9122 0.2732  2 Sb 2.69-2.78, 1 Bi 2.92
Au: 0.1389 0.4122 0.0795  2 Sb 2.69-2.78, 1 Bi 2.92
Au: 0.3611 0.9406 0.7732  2 Sb 2.69-2.78, 1 Bi 2.92
Au: 0.5795 0.6389 0.4122  2 Sb 2.69-2.78, 1 Bi 2.92
Au: 0.9205 0.8326 0.5594  2 Sb 2.69-2.78, 1 Bi 2.92
Au: 0.7732 0.3326 0.9122  2 Sb 2.69-2.78, 1 Bi 2.92
Au: 0.4205 0.3611 0.5878  2 Sb 2.69-2.78, 1 Bi 2.92
Au: 0.0795 0.1674 0.4406  2 Sb 2.69-2.78, 1 Bi 2.92
Au: 0.2268 0.6674 0.0878  2 Sb 2.69-2.78, 1 Bi 2.92
Au: 0.1674 0.0878 0.7268  2 Sb 2.69-2.78, 1 Bi 2.92
Au: 0.6389 0.0594 0.2268  2 Sb 2.69-2.78, 1 Bi 2.92
Au: 0.8611 0.5878 0.9205  2 Sb 2.69-2.78, 1 Bi 2.92
Au: 0.5594 0.3326 0.9205  2 Sb 2.69-2.78, 1 Bi 2.92
Au: 0.5878 0.8611 0.4205  2 Sb 2.69-2.78, 1 Bi 2.92
Au: 0.9122 0.8326 0.7732  2 Sb 2.69-2.78, 1 Bi 2.92
Au: 0.9122 0.0795 0.6389  2 Sb 2.69-2.78, 1 Bi 2.92
Au: 0.8611 0.2732 0.4406  2 Sb 2.69-2.78, 1 Bi 2.92
Au: 0.1674 0.0795 0.9406  2 Sb 2.69-2.78, 1 Bi 2.92
Au: 0.6389 0.5795 0.9122  2 Sb 2.69-2.78, 1 Bi 2.92
Au: 0.4205 0.0594 0.3326  2 Sb 2.69-2.78, 1 Bi 2.92
Au: 0.2732 0.4122 0.8326  2 Sb 2.69-2.78, 1 Bi 2.92
Au: 0.2268 0.5594 0.6389  2 Sb 2.69-2.78, 1 Bi 2.92
Au: 0.9205 0.0878 0.8611  2 Sb 2.69-2.78, 1 Bi 2.92
Au: 0.6674 0.2268 0.5878  2 Sb 2.69-2.78, 1 Bi 2.92
Au: 0.4406 0.7732 0.8611  2 Sb 2.69-2.78, 1 Bi 2.92
Au: 0.0594 0.4205 0.8326  2 Sb 2.69-2.78, 1 Bi 2.92
Au: 0.4122 0.2732 0.3326  2 Sb 2.69-2.78, 1 Bi 2.92
Au: 0.0594 0.6389 0.7268  2 Sb 2.69-2.78, 1 Bi 2.92
Au: 0.6674 0.4406 0.5795  2 Sb 2.69-2.78, 1 Bi 2.92
Au: 0.2732 0.8611 0.9406  2 Sb 2.69-2.78, 1 Bi 2.92

Computed properties:
**Magnetization**: 0.00 μB per formula unit
**Electronic total energy**: -0.1278 Ha/atom
**Formation energy without anion corrections**: 0.10 eV/atom